[1]
The following is a DFT calculation (PBE) of a relaxed AcAuF2 crystal.

Computed properties:
**Magnetic moment**: 0.00 μB per formula unit
**Crystal system**: trigonal
**Formation energy (no corrections)**: -63.58 kcal/mol of atoms
**Final energy**: -66.47 eV per cell

a b c (Å): 4.2901 4.2901 16.0509
angles (deg): 90.00 90.00 120.00
Space group R-3m (No. 166, hexagonal axes)
Asymmetric unit:
Ac (0.0000, 0.0000, 0.0000) x3
Au (0.0000, 0.0000, 0.5000) x3
F (0.0000, 0.0000, 0.3010) x6

[2]
The following is a DFT calculation (PBE) of a relaxed Ac2AuF crystal.

Computed properties:
**Magnetic moment**: 0.00 μB per formula unit
**Crystal system**: tetragonal
**Formation energy (no corrections)**: -29.20 kcal/mol of atoms
**Final energy**: -18.43 eV per cell

a b c (Å): 3.7221 3.7221 7.8713
angles (deg): 90.00 90.00 90.00
Space group P4/mmm (No. 123)
Asymmetric unit:
Ac (0.0000, 0.0000, 0.2470) x2
Au (0.5000, 0.5000, 0.0000) x1
F (0.5000, 0.5000, 0.5000) x1

[3]
The following is a DFT calculation (PBE) of a relaxed AcGeAuF crystal.

Computed properties:
**Magnetic moment**: 0.00 μB per formula unit
**Crystal system**: tetragonal
**Formation energy (no corrections)**: -39.87 kcal/mol of atoms
**Final energy**: -41.58 eV per cell

a b c (Å): 4.4853 4.4853 8.3316
angles (deg): 90.00 90.00 90.00
Space group P4/nmm (No. 129, origin choice 2)
Asymmetric unit:
Ac (0.2500, 0.2500, 0.1848) x2
Ge (0.2500, 0.2500, 0.6734) x2
Au (0.2500, 0.7500, 0.5000) x2
F (0.2500, 0.7500, 0.0000) x2

[4]
The following is a DFT calculation (PBE) of a relaxed Ac8Ir3Au4F crystal.

Computed properties:
**Magnetic moment**: 0.00 μB per formula unit
**Crystal system**: trigonal
**Formation energy (no corrections)**: -22.99 kcal/mol of atoms
**Final energy**: -271.16 eV per cell

a b c (Å): 8.7923 8.7923 22.1015
angles (deg): 90.00 90.00 120.00
Space group R-3m (No. 166, hexagonal axes)
Asymmetric unit:
Ac (0.0000, 0.0000, 0.2411) x6
Ac (0.0107, 0.5054, 0.7576) x18
Ir (0.0000, 0.5000, 0.5000) x9
Au (0.0000, 0.0000, 0.0000) x3
Au (0.0000, 0.5000, 0.0000) x9
F (0.0000, 0.0000, 0.5000) x3

[5]
The following is a DFT calculation (PBE) of a relaxed AcAuO2F crystal.

Computed properties:
**Magnetic moment**: 0.00 μB per formula unit
**Crystal system**: monoclinic
**Formation energy (no corrections)**: -50.48 kcal/mol of atoms
**Final energy**: -60.24 eV per cell

a b c (Å): 6.3689 4.0347 7.0027
angles (deg): 90.00 116.78 90.00
Space group P2_1/m (No. 11)
Asymmetric unit:
Ac (0.1682, 0.2500, 0.3014) x2
Au (0.3889, 0.2500, 0.8550) x2
O (0.1149, 0.2500, 0.9232) x2
O (0.4184, 0.7500, 0.3067) x2
F (0.1629, 0.7500, 0.5624) x2

[6]
The following is a DFT calculation (PBE) of a relaxed Ac2AuO4F crystal.

Computed properties:
**Magnetic moment**: 0.00 μB per formula unit
**Crystal system**: monoclinic
**Formation energy (no corrections)**: -53.65 kcal/mol of atoms
**Final energy**: -103.62 eV per cell

a b c (Å): 10.2370 3.7941 7.0662
angles (deg): 90.00 113.86 90.00
Space group C2/m (No. 12)
Asymmetric unit:
Ac (0.1869, 0.0000, 0.2152) x4
Au (0.0000, 0.0000, 0.5000) x2
O (0.1293, 0.5000, 0.4328) x4
O (0.1518, 0.0000, 0.8011) x4
F (0.0000, 0.5000, 0.0000) x2

[7]
The following is a DFT calculation (PBE) of a relaxed AcPAuF crystal.

Computed properties:
**Magnetic moment**: 0.00 μB per formula unit
**Crystal system**: tetragonal
**Formation energy (no corrections)**: -43.54 kcal/mol of atoms
**Final energy**: -44.44 eV per cell

a b c (Å): 4.2137 4.2137 8.8728
angles (deg): 90.00 90.00 90.00
Space group P4/nmm (No. 129, origin choice 2)
Asymmetric unit:
Ac (0.2500, 0.2500, 0.1885) x2
P (0.2500, 0.2500, 0.6893) x2
Au (0.2500, 0.7500, 0.5000) x2
F (0.2500, 0.7500, 0.0000) x2

[8]
The following is a DFT calculation (PBE) of a relaxed Ac12Fe5Au3 crystal.

Computed properties:
**Magnetic moment**: 0.00 μB per formula unit
**Crystal system**: cubic
**Final energy**: -794.35 eV per cell
**Formation energy**: 108 meV per atom

a b c (Å): 17.4593 17.4593 17.4593
angles (deg): 90.00 90.00 90.00
Space group Ia-3d (No. 230)
Asymmetric unit:
Ac (0.0316, 0.0560, 0.6505) x96
Fe (0.0000, 0.0000, 0.0000) x16
Fe (0.0000, 0.2500, 0.3750) x24
Au (0.0000, 0.2500, 0.1250) x24

> What is the magnetic moment in the seventh record?

0.00 μB per formula unit